# PBE Cd2SnHg4, optimized geometry
# E above lowest polymorph ... 0.000 eV per atom
data_Cd2SnHg4
_cell_length_a 7.873
_cell_length_b 6.130
_cell_length_c 8.327
_cell_angle_alpha 90.00
_cell_angle_beta 115.67
_cell_angle_gamma 90.00
_symmetry_space_group_name_H-M 'P 1 21/m 1'
_symmetry_Int_Tables_number 11
loop_
_symmetry_equiv_pos_as_xyz
'x,y,z'
'-x,-y,-z'
'-x,y+1/2,-z'
'x,-y+1/2,z'
loop_
_atom_site_label
_atom_site_type_symbol
_atom_site_fract_x
_atom_site_fract_y
_atom_site_fract_z
_atom_site_occupancy
Cd1 Cd 0.187 0.250 0.416 1
Cd2 Cd 0.312 0.250 0.866 1
Sn1 Sn 0.257 0.750 0.832 1
Hg1 Hg 0.002 0.750 0.022 1
Hg2 Hg 0.110 0.750 0.426 1
Hg3 Hg 0.433 0.502 0.279 1

=====

# PBE Cd6SnHg, optimized geometry
# E above lowest polymorph ... 0.000 eV per atom
data_Cd6SnHg
_cell_length_a 10.388
_cell_length_b 4.523
_cell_length_c 9.174
_cell_angle_alpha 90.00
_cell_angle_beta 118.83
_cell_angle_gamma 90.00
_symmetry_space_group_name_H-M 'C 1 2/m 1'
_symmetry_Int_Tables_number 12
loop_
_symmetry_equiv_pos_as_xyz
'x,y,z'
'-x,-y,-z'
'-x,y,-z'
'x,-y,z'
'x+1/2,y+1/2,z'
'-x+1/2,-y+1/2,-z'
'-x+1/2,y+1/2,-z'
'x+1/2,-y+1/2,z'
loop_
_atom_site_label
_atom_site_type_symbol
_atom_site_fract_x
_atom_site_fract_y
_atom_site_fract_z
_atom_site_occupancy
Cd1 Cd 0.001 0.000 0.247 1
Cd2 Cd 0.248 0.000 0.120 1
Cd3 Cd 0.248 0.500 0.374 1
Sn1 Sn 0.000 0.500 0.500 1
Hg1 Hg 0.000 0.500 0.000 1

=====

# PBE CdSn3Hg, optimized geometry
# E above lowest polymorph ... 0.000 eV per atom
data_CdSn3Hg
_cell_length_a 5.556
_cell_length_b 5.556
_cell_length_c 5.556
_cell_angle_alpha 90.00
_cell_angle_beta 90.00
_cell_angle_gamma 90.00
_symmetry_space_group_name_H-M 'P m -3 m'
_symmetry_Int_Tables_number 221
_symmetry_space_group_name_Hall '-P 4 2 3'
loop_
_atom_site_label
_atom_site_type_symbol
_atom_site_fract_x
_atom_site_fract_y
_atom_site_fract_z
_atom_site_occupancy
Cd1 Cd 0.000 0.000 0.000 1
Sn1 Sn 0.000 0.000 0.500 1
Hg1 Hg 0.500 0.500 0.500 1

=====

# PBE Cd3SnHg6, optimized geometry
# E above lowest polymorph ... 0.024 eV per atom
data_Cd3SnHg6
_cell_length_a 10.236
_cell_length_b 11.594
_cell_length_c 8.741
_cell_angle_alpha 90.00
_cell_angle_beta 90.00
_cell_angle_gamma 90.00
_symmetry_space_group_name_H-M 'C m c 21'
_symmetry_Int_Tables_number 36
loop_
_symmetry_equiv_pos_as_xyz
'x,y,z'
'-x,-y,z+1/2'
'-x,y,z'
'x,-y,z+1/2'
'x+1/2,y+1/2,z'
'-x+1/2,-y+1/2,z+1/2'
'-x+1/2,y+1/2,z'
'x+1/2,-y+1/2,z+1/2'
loop_
_atom_site_label
_atom_site_type_symbol
_atom_site_fract_x
_atom_site_fract_y
_atom_site_fract_z
_atom_site_occupancy
Cd1 Cd 0.000 0.009 0.000 1
Cd2 Cd 0.164 0.351 0.496 1
Sn1 Sn 0.000 0.265 0.062 1
Hg1 Hg 0.000 0.201 0.728 1
Hg2 Hg 0.000 0.468 0.827 1
Hg3 Hg 0.179 0.139 0.304 1
Hg4 Hg 0.234 0.411 0.146 1

=====

# PBE Cd2SnHg, optimized geometry
# E above lowest polymorph ... 0.000 eV per atom
data_Cd2SnHg
_cell_length_a 10.956
_cell_length_b 3.169
_cell_length_c 5.758
_cell_angle_alpha 90.00
_cell_angle_beta 99.84
_cell_angle_gamma 90.00
_symmetry_space_group_name_H-M 'C 1 m 1'
_symmetry_Int_Tables_number 8
loop_
_symmetry_equiv_pos_as_xyz
'x,y,z'
'x,-y,z'
'x+1/2,y+1/2,z'
'x+1/2,-y+1/2,z'
loop_
_atom_site_label
_atom_site_type_symbol
_atom_site_fract_x
_atom_site_fract_y
_atom_site_fract_z
_atom_site_occupancy
Cd1 Cd 0.000 0.000 0.000 1
Cd2 Cd 0.241 0.500 0.265 1
Sn1 Sn 0.250 0.000 0.767 1
Hg1 Hg 0.491 0.000 0.489 1

=====

# PBE Cd7SnHg12, optimized geometry
# E above lowest polymorph ... 0.000 eV per atom
data_Cd7SnHg12
_cell_length_a 15.2174
_cell_length_b 15.2174
_cell_length_c 7.9355
_cell_angle_alpha 90.00
_cell_angle_beta 90.00
_cell_angle_gamma 120.00
_symmetry_space_group_name_H-M 'R -3'
_symmetry_Int_Tables_number 148
_symmetry_space_group_name_Hall '-R 3'
loop_
_atom_site_label
_atom_site_type_symbol
_atom_site_fract_x
_atom_site_fract_y
_atom_site_fract_z
_atom_site_occupancy
Cd1 Cd 0.0000 0.0000 0.0000 1
Cd2 Cd 0.0469 0.1740 0.2583 1
Sn1 Sn 0.0000 0.0000 0.5000 1
Hg1 Hg 0.0314 0.7563 0.4571 1
Hg2 Hg 0.0693 0.2419 0.8915 1

=====

# PBE Cd3SnHg, optimized geometry
# E above lowest polymorph ... 0.029 eV per atom
data_Cd3SnHg
_cell_length_a 8.2936
_cell_length_b 8.2936
_cell_length_c 13.2983
_cell_angle_alpha 90.00
_cell_angle_beta 90.00
_cell_angle_gamma 120.00
_symmetry_space_group_name_H-M 'R 3 c'
_symmetry_Int_Tables_number 161
_symmetry_space_group_name_Hall 'R 3 -2"c'
loop_
_atom_site_label
_atom_site_type_symbol
_atom_site_fract_x
_atom_site_fract_y
_atom_site_fract_z
_atom_site_occupancy
Cd1 Cd 0.0102 0.3050 0.0000 1
Sn1 Sn 0.0000 0.0000 0.1469 1
Hg1 Hg 0.0000 0.0000 0.3772 1

=====

# PBE Cd5SnHg, optimized geometry
# E above lowest polymorph ... 0.004 eV per atom
data_Cd5SnHg
_cell_length_a 12.358
_cell_length_b 7.838
_cell_length_c 7.627
_cell_angle_alpha 90.00
_cell_angle_beta 107.02
_cell_angle_gamma 90.00
_symmetry_space_group_name_H-M 'C 1 2/c 1'
_symmetry_Int_Tables_number 15
loop_
_symmetry_equiv_pos_as_xyz
'x,y,z'
'-x,-y,-z'
'-x,y,-z+1/2'
'x,-y,z+1/2'
'x+1/2,y+1/2,z'
'-x+1/2,-y+1/2,-z'
'-x+1/2,y+1/2,-z+1/2'
'x+1/2,-y+1/2,z+1/2'
loop_
_atom_site_label
_atom_site_type_symbol
_atom_site_fract_x
_atom_site_fract_y
_atom_site_fract_z
_atom_site_occupancy
Cd1 Cd 0.000 0.140 0.250 1
Cd2 Cd 0.112 0.460 0.127 1
Cd3 Cd 0.189 0.107 0.070 1
Sn1 Sn 0.250 0.250 0.500 1
Hg1 Hg 0.000 0.236 0.750 1

=====

# PBE Cd2SnHg, optimized geometry
# E above lowest polymorph ... 0.007 eV per atom
data_Cd2SnHg
_cell_length_a 4.627
_cell_length_b 4.627
_cell_length_c 4.587
_cell_angle_alpha 90.00
_cell_angle_beta 90.00
_cell_angle_gamma 90.00
_symmetry_space_group_name_H-M 'P 4/m m m'
_symmetry_Int_Tables_number 123
_symmetry_space_group_name_Hall '-P 4 2'
loop_
_atom_site_label
_atom_site_type_symbol
_atom_site_fract_x
_atom_site_fract_y
_atom_site_fract_z
_atom_site_occupancy
Cd1 Cd 0.000 0.500 0.000 1
Sn1 Sn 0.000 0.000 0.500 1
Hg1 Hg 0.500 0.500 0.500 1

=====

# PBE Cd4Sn4Hg, optimized geometry
# Uncorrected energy ... -38.89 eV/cell
data_Cd4Sn4Hg
_cell_length_a 10.005
_cell_length_b 10.005
_cell_length_c 4.576
_cell_angle_alpha 90.00
_cell_angle_beta 90.00
_cell_angle_gamma 90.00
_symmetry_space_group_name_H-M 'I 4/m m m'
_symmetry_Int_Tables_number 139
_symmetry_space_group_name_Hall '-I 4 2'
loop_
_atom_site_label
_atom_site_type_symbol
_atom_site_fract_x
_atom_site_fract_y
_atom_site_fract_z
_atom_site_occupancy
Cd1 Cd 0.000 0.343 0.000 1
Sn1 Sn 0.169 0.169 0.500 1
Hg1 Hg 0.000 0.000 0.000 1

=====

# PBE Cd2SnHg5, optimized geometry
# E above lowest polymorph ... 0.016 eV per atom
data_Cd2SnHg5
_cell_length_a 7.850
_cell_length_b 7.850
_cell_length_c 13.309
_cell_angle_alpha 90.00
_cell_angle_beta 90.00
_cell_angle_gamma 90.00
_symmetry_space_group_name_H-M 'I 4/m c m'
_symmetry_Int_Tables_number 140
_symmetry_space_group_name_Hall '-I 4 2c'
loop_
_atom_site_label
_atom_site_type_symbol
_atom_site_fract_x
_atom_site_fract_y
_atom_site_fract_z
_atom_site_occupancy
Cd1 Cd 0.143 0.357 0.000 1
Sn1 Sn 0.000 0.000 0.250 1
Hg1 Hg 0.000 0.000 0.000 1
Hg2 Hg 0.152 0.348 0.339 1

=====

# PBE Cd9Sn2Hg3, optimized geometry
# Uncorrected energy ... -16.32 eV/cell
data_Cd9Sn2Hg3
_cell_length_a 6.085
_cell_length_b 7.678
_cell_length_c 7.683
_cell_angle_alpha 86.07
_cell_angle_beta 89.72
_cell_angle_gamma 89.64
_symmetry_space_group_name_H-M 'P -1'
_symmetry_Int_Tables_number 2
loop_
_symmetry_equiv_pos_as_xyz
'x,y,z'
'-x,-y,-z'
loop_
_atom_site_label
_atom_site_type_symbol
_atom_site_fract_x
_atom_site_fract_y
_atom_site_fract_z
_atom_site_occupancy
Cd1 Cd 0.000 0.000 0.000 1
Cd2 Cd 0.093 0.378 0.878 1
Cd3 Cd 0.093 0.878 0.378 1
Cd4 Cd 0.376 0.467 0.189 1
Cd5 Cd 0.377 0.189 0.468 1
Sn1 Sn 0.500 0.146 0.855 1
Hg1 Hg 0.000 0.500 0.500 1
Hg2 Hg 0.218 0.766 0.766 1

=====

# PBE Cd2Sn2Hg7, optimized geometry
# Uncorrected energy ... -22.13 eV/cell
data_Cd2Sn2Hg7
_cell_length_a 14.512
_cell_length_b 8.362
_cell_length_c 5.291
_cell_angle_alpha 90.00
_cell_angle_beta 94.90
_cell_angle_gamma 90.00
_symmetry_space_group_name_H-M 'C 1 2/m 1'
_symmetry_Int_Tables_number 12
loop_
_symmetry_equiv_pos_as_xyz
'x,y,z'
'-x,-y,-z'
'-x,y,-z'
'x,-y,z'
'x+1/2,y+1/2,z'
'-x+1/2,-y+1/2,-z'
'-x+1/2,y+1/2,-z'
'x+1/2,-y+1/2,z'
loop_
_atom_site_label
_atom_site_type_symbol
_atom_site_fract_x
_atom_site_fract_y
_atom_site_fract_z
_atom_site_occupancy
Cd1 Cd 0.000 0.192 0.000 1
Sn1 Sn 0.188 0.000 0.780 1
Hg1 Hg 0.000 0.000 0.500 1
Hg2 Hg 0.056 0.500 0.278 1
Hg3 Hg 0.189 0.205 0.265 1

=====

# PBE Cd3SnHg4, optimized geometry
# E above lowest polymorph ... 0.008 eV per atom
data_Cd3SnHg4
_cell_length_a 3.956
_cell_length_b 4.647
_cell_length_c 11.265
_cell_angle_alpha 90.00
_cell_angle_beta 90.00
_cell_angle_gamma 90.00
_symmetry_space_group_name_H-M 'P m m 2'
_symmetry_Int_Tables_number 25
loop_
_symmetry_equiv_pos_as_xyz
'x,y,z'
'-x,-y,z'
'-x,y,z'
'x,-y,z'
loop_
_atom_site_label
_atom_site_type_symbol
_atom_site_fract_x
_atom_site_fract_y
_atom_site_fract_z
_atom_site_occupancy
Cd1 Cd 0.000 0.000 0.000 1
Cd2 Cd 0.000 0.500 0.195 1
Cd3 Cd 0.500 0.000 0.498 1
Sn1 Sn 0.500 0.500 0.703 1
Hg1 Hg 0.000 0.000 0.733 1
Hg2 Hg 0.000 0.500 0.459 1
Hg3 Hg 0.500 0.000 0.234 1
Hg4 Hg 0.500 0.500 0.970 1

=====

# PBE Cd8SnHg6, optimized geometry
# E above lowest polymorph ... 0.000 eV per atom
data_Cd8SnHg6
_cell_length_a 7.4425
_cell_length_b 7.4425
_cell_length_c 24.2782
_cell_angle_alpha 90.00
_cell_angle_beta 90.00
_cell_angle_gamma 120.00
_symmetry_space_group_name_H-M 'R -3'
_symmetry_Int_Tables_number 148
_symmetry_space_group_name_Hall '-R 3'
loop_
_atom_site_label
_atom_site_type_symbol
_atom_site_fract_x
_atom_site_fract_y
_atom_site_fract_z
_atom_site_occupancy
Cd1 Cd 0.0000 0.0000 0.1996 1
Cd2 Cd 0.0366 0.7785 0.6942 1
Sn1 Sn 0.0000 0.0000 0.5000 1
Hg1 Hg 0.0457 0.4507 0.7686 1

=====

# PBE Cd8Sn2Hg, optimized geometry
# E above lowest polymorph ... 0.010 eV per atom
data_Cd8Sn2Hg
_cell_length_a 7.290
_cell_length_b 15.920
_cell_length_c 5.232
_cell_angle_alpha 90.00
_cell_angle_beta 95.00
_cell_angle_gamma 90.00
_symmetry_space_group_name_H-M 'C 1 2/m 1'
_symmetry_Int_Tables_number 12
loop_
_symmetry_equiv_pos_as_xyz
'x,y,z'
'-x,-y,-z'
'-x,y,-z'
'x,-y,z'
'x+1/2,y+1/2,z'
'-x+1/2,-y+1/2,-z'
'-x+1/2,y+1/2,-z'
'x+1/2,-y+1/2,z'
loop_
_atom_site_label
_atom_site_type_symbol
_atom_site_fract_x
_atom_site_fract_y
_atom_site_fract_z
_atom_site_occupancy
Cd1 Cd 0.000 0.170 0.000 1
Cd2 Cd 0.102 0.000 0.774 1
Cd3 Cd 0.205 0.403 0.616 1
Sn1 Sn 0.000 0.244 0.500 1
Hg1 Hg 0.000 0.500 0.000 1

=====

# PBE Cd4SnHg3, optimized geometry
# E above lowest polymorph ... 0.040 eV per atom
data_Cd4SnHg3
_cell_length_a 5.579
_cell_length_b 8.252
_cell_length_c 9.167
_cell_angle_alpha 90.00
_cell_angle_beta 90.00
_cell_angle_gamma 90.00
_symmetry_space_group_name_H-M 'I m m 2'
_symmetry_Int_Tables_number 44
loop_
_symmetry_equiv_pos_as_xyz
'x,y,z'
'-x,-y,z'
'-x,y,z'
'x,-y,z'
'x+1/2,y+1/2,z+1/2'
'-x+1/2,-y+1/2,z+1/2'
'-x+1/2,y+1/2,z+1/2'
'x+1/2,-y+1/2,z+1/2'
loop_
_atom_site_label
_atom_site_type_symbol
_atom_site_fract_x
_atom_site_fract_y
_atom_site_fract_z
_atom_site_occupancy
Cd1 Cd 0.000 0.184 0.000 1
Cd2 Cd 0.249 0.500 0.097 1
Sn1 Sn 0.000 0.000 0.288 1
Hg1 Hg 0.000 0.311 0.705 1
Hg2 Hg 0.000 0.500 0.400 1

=====

# PBE Cd6SnHg6, optimized geometry
# Uncorrected energy ... -20.98 eV/cell
data_Cd6SnHg6
_cell_length_a 6.085
_cell_length_b 9.896
_cell_length_c 10.750
_cell_angle_alpha 90.00
_cell_angle_beta 90.00
_cell_angle_gamma 90.00
_symmetry_space_group_name_H-M 'I m m m'
_symmetry_Int_Tables_number 71
_symmetry_space_group_name_Hall '-I 2 2'
loop_
_atom_site_label
_atom_site_type_symbol
_atom_site_fract_x
_atom_site_fract_y
_atom_site_fract_z
_atom_site_occupancy
Cd1 Cd 0.000 0.230 0.000 1
Cd2 Cd 0.250 0.250 0.250 1
Sn1 Sn 0.000 0.000 0.500 1
Hg1 Hg 0.000 0.000 0.187 1
Hg2 Hg 0.000 0.347 0.500 1
Hg3 Hg 0.000 0.500 0.149 1

=====

# PBE Cd6SnHg, optimized geometry
# E above lowest polymorph ... 0.012 eV per atom
data_Cd6SnHg
_cell_length_a 4.638
_cell_length_b 4.638
_cell_length_c 8.800
_cell_angle_alpha 90.00
_cell_angle_beta 90.00
_cell_angle_gamma 90.00
_symmetry_space_group_name_H-M 'P 4/m m m'
_symmetry_Int_Tables_number 123
_symmetry_space_group_name_Hall '-P 4 2'
loop_
_atom_site_label
_atom_site_type_symbol
_atom_site_fract_x
_atom_site_fract_y
_atom_site_fract_z
_atom_site_occupancy
Cd1 Cd 0.000 0.000 0.000 1
Cd2 Cd 0.000 0.000 0.500 1
Cd3 Cd 0.000 0.500 0.245 1
Sn1 Sn 0.500 0.500 0.500 1
Hg1 Hg 0.500 0.500 0.000 1

=====

# PBE Cd7Sn2Hg3, optimized geometry
# E above lowest polymorph ... 0.011 eV per atom
data_Cd7Sn2Hg3
_cell_length_a 4.513
_cell_length_b 4.472
_cell_length_c 15.380
_cell_angle_alpha 90.00
_cell_angle_beta 96.50
_cell_angle_gamma 90.00
_symmetry_space_group_name_H-M 'P 1 2/m 1'
_symmetry_Int_Tables_number 10
loop_
_symmetry_equiv_pos_as_xyz
'x,y,z'
'-x,-y,-z'
'-x,y,-z'
'x,-y,z'
loop_
_atom_site_label
_atom_site_type_symbol
_atom_site_fract_x
_atom_site_fract_y
_atom_site_fract_z
_atom_site_occupancy
Cd1 Cd 0.000 0.000 0.000 1
Cd2 Cd 0.075 0.500 0.150 1
Cd3 Cd 0.203 0.500 0.423 1
Cd4 Cd 0.433 0.000 0.852 1
Sn1 Sn 0.370 0.500 0.716 1
Hg1 Hg 0.284 0.000 0.576 1
Hg2 Hg 0.500 0.500 0.000 1

=====

# PBE Cd4Sn2Hg5, optimized geometry
# E above lowest polymorph ... 0.016 eV per atom
data_Cd4Sn2Hg5
_cell_length_a 3.178
_cell_length_b 9.842
_cell_length_c 19.160
_cell_angle_alpha 90.00
_cell_angle_beta 90.00
_cell_angle_gamma 90.00
_symmetry_space_group_name_H-M 'I m m m'
_symmetry_Int_Tables_number 71
_symmetry_space_group_name_Hall '-I 2 2'
loop_
_atom_site_label
_atom_site_type_symbol
_atom_site_fract_x
_atom_site_fract_y
_atom_site_fract_z
_atom_site_occupancy
Cd1 Cd 0.000 0.000 0.247 1
Cd2 Cd 0.000 0.260 0.500 1
Sn1 Sn 0.000 0.000 0.087 1
Hg1 Hg 0.000 0.235 0.337 1
Hg2 Hg 0.000 0.500 0.000 1